SbP2OsCl, optimized geometry, DFT PBE; E_form (uncorrected) = 9.004 eV per formula unit; space-group type = No. 123; mass density = 5.38 g/cm³; total magnetization = 3.40 μB per formula unit; electronic total energy = -3.803 eV/atom; distance to the lowest polymorph of the same formula = 1.253 eV per atom
1.0
5.073 0.000 0.000
0.000 5.073 0.000
0.000 0.000 4.909
P Os Cl Sb
2 1 1 1
Cartesian
0.000 2.537 0.000
2.537 0.000 0.000
2.537 2.537 2.454
0.000 0.000 2.454
0.000 0.000 0.000